A plane-wave DFT calculation with PBE-GGA was carried out for a relaxed structure of ZnReRu.

The structure in POSCAR format:
```
ZnReRu
1.0
7.1001 -0.0093 0.0062
6.3527 2.5990 -0.0161
0.7474 -1.0306 2.3962
Ru Zn Re
1 1 1
Direct
0.3359 0.3359 0.6641 Ru
0.6687 0.6687 0.3313 Zn
0.9954 0.9954 0.0046 Re
```

Properties
As for the uncorrected energy: -0.273 hartree per atom. The density comes out at 13.3 Mg/m³. Its formation energy is 0.24 eV/atom. The calculation puts the polymorph energy (0 for the lowest one) at 299.5 meV/atom. Its symmetry is Fmm2. Its magnetization is 0.00 μB per cell.